TmZr2Tl: optimized geometry, PBE-GGA.

Cell: 5.1531 5.1531 5.1537 Å, 60.00 60.00 60.00°
Each line ends with the local moment (μB).
Element x y z (fractional)
Tm 0.5000 0.5000 0.5000  0.12
Tl 0.7500 0.7500 0.7500  -0.01
Zr 0.2500 0.2500 0.2499  0.61
Zr 0.0000 0.0000 0.0001  0.23

Summary:
- energy (eV per atom) = -5.91
- excess energy over the best structure of this formula in the dataset (kJ/mol of atoms) = 22.1
- ΔE_f (eV/f.u.) = 0.3
- spin magnetization (Bohr magnetons per cell) = 1.33